First-principles (GGA-PBE) data for a geometry-optimized Sm12ZnRu6 structure, as listed in Alexandria.

## Properties
As for the energy above the most stable polymorph in this dataset: 0.0 meV per atom. Its energy of formation from the pure elements is -0.19 eV/atom. Its total energy is -0.453 Ry/atom.

Structure (POSCAR):
```
Sm12ZnRu6
1.0
-8.158 2.795 -0.883
1.475 -6.432 -5.621
1.204 -2.893 8.082
Sm Zn Ru
12 1 6
direct
0.297 0.100 0.803
0.297 0.493 0.197
0.703 0.507 0.803
0.703 0.900 0.197
0.100 0.803 0.297
0.493 0.197 0.297
0.507 0.803 0.703
0.900 0.197 0.703
0.803 0.297 0.100
0.197 0.297 0.493
0.803 0.703 0.507
0.197 0.703 0.900
0.000 0.000 0.000
0.377 0.500 0.877
0.623 0.500 0.123
0.500 0.877 0.377
0.500 0.123 0.623
0.877 0.377 0.500
0.123 0.623 0.500
```